A geometry-optimized Tl2Cd16Sn structure, computed with PBE-GGA.

abc: 7.835 7.835 7.835
angles: 83.50 83.50 83.50
Sites, in units of the cell vectors:
Tl  0.000  0.000  0.000
Tl  0.311  0.311  0.311
Cd  0.017  0.017  0.462
Cd  0.017  0.462  0.017
Cd  0.143  0.658  0.658
Cd  0.306  0.306  0.792
Cd  0.306  0.792  0.306
Cd  0.344  0.652  0.958
Cd  0.344  0.958  0.652
Cd  0.462  0.017  0.017
Cd  0.547  0.547  0.547
Cd  0.652  0.344  0.958
Cd  0.652  0.958  0.344
Cd  0.658  0.143  0.658
Cd  0.658  0.658  0.143
Cd  0.792  0.306  0.306
Cd  0.958  0.344  0.652
Cd  0.958  0.652  0.344
Sn  0.750  0.750  0.750

Values from the calculation:
Total magnetic moment ... 0.00 μB per formula unit
Total DFT energy (no corrections) ... -1.197 eV per atom
SG ... R3m
Formation energy ... 0.034 eV per atom